No. 1
The following is a PBE calculation of a relaxed structure of InAs2Os, from Alexandria via LeMat-Bulk.

It has space group R-3m (No. 166, hexagonal axes), with a = 3.1290 Å, b = 3.1290 Å, c = 27.7055 Å, α = 90.00°, β = 90.00° and γ = 120.00°. Symmetry generates all atoms from In at (0.0000, 0.0000, 0.0000), As at (0.0000, 0.0000, 0.2327) and Os at (0.0000, 0.0000, 0.5000).

For the calculated formation energy, the calculation gives 166 meV/atom. The calculated density comes out at 9.65 g/cm3.



No. 2
The following is a PBE calculation of a relaxed structure of Pm8HgGe6, from Alexandria via LeMat-Bulk.

It has space group P-3 (No. 147), with a = 10.6895 Å, b = 10.6895 Å, c = 3.9818 Å, α = 90.00°, β = 90.00° and γ = 120.00°. Symmetry generates all atoms from Pm at (0.0811, 0.3099, 0.2602), Pm at (0.3333, 0.6667, 0.7506), Hg at (0.0000, 0.0000, 0.0000) and Ge at (0.0733, 0.5948, 0.2449).

For the calculated formation energy, the calculation gives -638 meV/atom. The calculated density comes out at 7.57 g/cm3.



No. 3
The following is a PBE calculation of a relaxed structure of Sn3AsSe, from Alexandria via LeMat-Bulk.

It has space group C2/c (No. 15), with a = 8.839 Å, b = 16.815 Å, c = 8.982 Å, α = 90.00°, β = 110.06° and γ = 90.00°. Symmetry generates all atoms from Sn at (0.011, 0.080, 0.076), Sn at (0.144, 0.451, 0.507), Sn at (0.183, 0.222, 0.631), As at (0.148, 0.364, 0.766), Se at (0.000, 0.122, 0.750) and Se at (0.000, 0.347, 0.250).

The calculated density comes out at 5.40 g/cm3. The calculation puts the raw formation energy at -31 meV/atom. The energy above the lowest structure with this stoichiometry comes out at 0 kJ/mol of formula units.



No. 4
The following is a PBE calculation of a relaxed structure of ThSnBr2, from Alexandria via LeMat-Bulk.

It has space group R-3m (No. 166, hexagonal axes), with a = 3.7080 Å, b = 3.7080 Å, c = 32.8346 Å, α = 90.00°, β = 90.00° and γ = 120.00°. Symmetry generates all atoms from Th at (0.0000, 0.0000, 0.0000), Sn at (0.0000, 0.0000, 0.5000) and Br at (0.0000, 0.0000, 0.0858).

The calculated density comes out at 6.51 g/cm3. The calculation puts the raw formation energy at -437 meV/atom.



No. 5
The following is a PBE calculation of a relaxed structure of Sr2MgTa, from Alexandria via LeMat-Bulk.

It has space group P4mm (No. 99), with a = 3.623 Å, b = 3.623 Å, c = 9.680 Å, α = 90.00°, β = 90.00° and γ = 90.00°. Symmetry generates all atoms from Sr at (0.000, 0.000, 0.000), Sr at (0.500, 0.500, 0.366), Mg at (0.500, 0.500, 0.752) and Ta at (0.000, 0.000, 0.604).

For the calculated formation energy, the calculation gives 615 meV/atom. The calculated density comes out at 4.97 g/cm3.



No. 6
The following is a PBE calculation of a relaxed structure of LuNpBi2, from Alexandria via LeMat-Bulk.

It has space group Fm-3m (No. 225), with a = 7.687 Å, b = 7.687 Å, c = 7.687 Å, α = 90.00°, β = 90.00° and γ = 90.00°. Symmetry generates all atoms from Lu at (0.000, 0.000, 0.000), Np at (0.000, 0.000, 0.500) and Bi at (0.250, 0.250, 0.250).

For the calculated formation energy, the calculation gives -131 meV/atom. The calculated density comes out at 12.14 g/cm3. The energy above the lowest structure with this stoichiometry comes out at 65 kJ/mol of formula units.